Entry 1:
First-principles (PBE-GGA) data for an optimized crystal structure of LiSc2Mn, as listed in Alexandria via LeMat-Bulk.

Properties
Total moment in μB per cell: 2.6
ΔH_f (0 K) in eV/atom: 0.270
Calculated total energy in eV/cell: -22.7
Space group: C2/m, No. 12

a = 4.9469 Å, b = 4.9469 Å, c = 5.6567 Å
α = 81.05°, β = 81.05°, γ = 36.14°
Each line ends with the local moment (μB).
Fractional coordinates of all 4 atoms:
Sc 0.5079 0.5079 0.4804  -0.28
Sc 0.9921 0.9921 0.0196  -0.28
Li 0.7500 0.7500 0.7500  -0.03
Mn 0.2500 0.2500 0.2500  3.30



Entry 2:
First-principles (PBE-GGA) data for an optimized crystal structure of DySc3As2, as listed in Alexandria via LeMat-Bulk.

Properties
Total moment in μB per cell: 1.3
ΔH_f (0 K) in eV/atom: -0.858
Calculated total energy in eV/cell: -76.1
Space group: C2/m, No. 12

a = 3.8932 Å, b = 7.9081 Å, c = 9.9936 Å
α = 111.39°, β = 90.00°, γ = 104.25°
Each line ends with the local moment (μB).
Fractional coordinates of all 12 atoms:
Dy 0.1208 0.2417 0.0330  0.05
Dy 0.8792 0.7583 0.9670  0.05
Sc 0.3781 0.7562 0.3091  0.14
Sc 0.0588 0.1176 0.3955  0.16
Sc 0.7152 0.4303 0.3686  0.03
Sc 0.6219 0.2438 0.6909  0.14
Sc 0.2848 0.5697 0.6314  0.03
Sc 0.9412 0.8824 0.6045  0.16
As 0.4810 0.9620 0.8183  -0.01
As 0.5190 0.0380 0.1817  -0.01
As 0.2311 0.4622 0.8497  0.00
As 0.7689 0.5378 0.1503  0.00



Entry 3:
First-principles (PBE-GGA) data for an optimized crystal structure of GaGeP2O, as listed in Alexandria via LeMat-Bulk.

Properties
Energy above the lowest structure with this stoichiometry in meV/atom: 77
Total moment in μB per cell: 0.0
Calculated total energy in eV/cell: -21.8
Space group: P4/mmm, No. 123

a = 4.8930 Å, b = 4.8930 Å, c = 3.6202 Å
α = 90.00°, β = 90.00°, γ = 90.00°
Fractional coordinates of all 5 atoms:
O 0.0000 0.0000 0.5000
Ge 0.5000 0.5000 0.5000
P 0.0000 0.5000 0.0000
P 0.5000 0.0000 0.0000
Ga 0.0000 0.0000 0.0000



Entry 4:
First-principles (PBE-GGA) data for an optimized crystal structure of KCu2C, as listed in Alexandria via LeMat-Bulk.

Properties
Total moment in μB per cell: 0.0
ΔH_f (0 K) in eV/atom: 0.516
Calculated total energy in eV/cell: -32.9
Space group: I4_1/amd, No. 141

a = 6.0846 Å, b = 6.0846 Å, c = 6.1000 Å
α = 60.08°, β = 60.08°, γ = 90.00°
Fractional coordinates of all 8 atoms:
Cu 0.3748 0.6250 0.2500
Cu 0.3752 0.1250 0.2500
Cu 0.8750 0.6252 0.7500
Cu 0.3750 0.6248 0.7500
K 0.7500 0.2500 0.5000
K 0.0000 0.0000 0.0000
C 0.5000 0.5000 0.0000
C 0.2500 0.7500 0.5000